No. 1
Below is a relaxed Ba3SrAu crystal, with properties calculated at the GGA-PBEsol level.

Cell: 6.391 6.391 6.391 Å, 90.00 90.00 90.00°
Space group Pm-3m (No. 221)
Asymmetric unit:
Ba: 0.000 0.000 0.500 x3
Sr: 0.500 0.500 0.500 x1
Au: 0.000 0.000 0.000 x1

Computed properties:
**Calculated formation energy**: -0.27 eV per atom
**Magnetization**: 0.00 μB per formula unit
**DFT total energy**: -2.71 eV per atom
**Energy relative to the lowest polymorph listed for this composition**: 0 meV/atom
**Calculated volume**: 261.1 Å³/cell

No. 2
Below is a relaxed BaSr2Au crystal, with properties calculated at the GGA-PBEsol level.

Cell: 4.287 4.837 16.575 Å, 90.00 90.00 90.00°
Space group Amm2 (No. 38)
Asymmetric unit:
Ba: 0.000 0.000 0.000 x2
Sr: 0.000 0.000 0.687 x2
Sr: 0.500 0.000 0.346 x2
Au: 0.500 0.000 0.540 x2

Computed properties:
**Calculated formation energy**: -0.33 eV per atom
**Magnetization**: 0.00 μB per formula unit
**DFT total energy**: -2.77 eV per atom
**Energy relative to the lowest polymorph listed for this composition**: 13 meV/atom
**Calculated volume**: 343.7 Å³/cell

No. 3
Below is a relaxed BaSrAu2 crystal, with properties calculated at the GGA-PBEsol level.

Cell: 3.848 3.848 7.645 Å, 90.00 90.00 90.00°
Space group P4/mmm (No. 123)
Asymmetric unit:
Ba: 0.000 0.000 0.000 x1
Sr: 0.000 0.000 0.500 x1
Au: 0.500 0.500 0.270 x2

Computed properties:
**Calculated formation energy**: -0.64 eV per atom
**Magnetization**: 0.00 μB per formula unit
**DFT total energy**: -3.60 eV per atom
**Energy relative to the lowest polymorph listed for this composition**: 34 meV/atom
**Calculated volume**: 113.2 Å³/cell

No. 4
Below is a relaxed BaSr2Au crystal, with properties calculated at the GGA-PBEsol level.

Cell: 7.696 4.453 11.083 Å, 90.00 103.51 90.00°
Space group Cm (No. 8)
Asymmetric unit:
Ba: 0.000 0.000 0.000 x2
Sr: 0.219 0.000 0.657 x2
Sr: 0.444 0.000 0.332 x2
Au: 0.225 0.500 0.175 x2

Computed properties:
**Calculated formation energy**: -0.31 eV per atom
**Magnetization**: 0.00 μB per formula unit
**DFT total energy**: -2.75 eV per atom
**Energy relative to the lowest polymorph listed for this composition**: 31 meV/atom
**Calculated volume**: 369.3 Å³/cell

No. 5
Below is a relaxed BaSr2Au crystal, with properties calculated at the GGA-PBEsol level.

Cell: 3.989 6.107 13.171 Å, 90.00 90.00 90.00°
Space group Immm (No. 71)
Asymmetric unit:
Ba: 0.000 0.000 0.000 x2
Sr: 0.000 0.500 0.182 x4
Au: 0.000 0.000 0.500 x2

Computed properties:
**Calculated formation energy**: -0.32 eV per atom
**Magnetization**: 0.00 μB per formula unit
**DFT total energy**: -2.76 eV per atom
**Energy relative to the lowest polymorph listed for this composition**: 25 meV/atom
**Calculated volume**: 320.9 Å³/cell

No. 6
Below is a relaxed BaSr2Au crystal, with properties calculated at the GGA-PBEsol level.

Cell: 3.896 3.896 10.333 Å, 90.00 90.00 90.00°
Space group P4/mmm (No. 123)
Asymmetric unit:
Ba: 0.000 0.000 0.000 x1
Sr: 0.500 0.500 0.329 x2
Au: 0.000 0.000 0.500 x1

Computed properties:
**Calculated formation energy**: -0.34 eV per atom
**Magnetization**: 0.00 μB per formula unit
**DFT total energy**: -2.78 eV per atom
**Energy relative to the lowest polymorph listed for this composition**: 0 meV/atom
**Calculated volume**: 156.8 Å³/cell

No. 7
Below is a relaxed Ba3SrAu crystal, with properties calculated at the GGA-PBEsol level.

Cell: 6.367 6.367 6.367 Å, 90.00 90.00 90.00°
Space group Pm-3m (No. 221)
Asymmetric unit:
Ba: 0.000 0.000 0.500 x3
Sr: 0.000 0.000 0.000 x1
Au: 0.500 0.500 0.500 x1

Computed properties:
**Calculated formation energy**: 0.83 eV per atom
**Magnetization**: 0.00 μB per formula unit
**DFT total energy**: -1.62 eV per atom
**Energy relative to the lowest polymorph listed for this composition**: 1093 meV/atom
**Calculated volume**: 258.1 Å³/cell

No. 8
Below is a relaxed BaSrAu2 crystal, with properties calculated at the GGA-PBEsol level.

Cell: 4.317 4.448 14.188 Å, 90.00 90.00 90.00°
Space group Imm2 (No. 44)
Asymmetric unit:
Ba: 0.000 0.000 0.000 x2
Sr: 0.000 0.500 0.752 x2
Au: 0.000 0.000 0.419 x2
Au: 0.000 0.500 0.298 x2

Computed properties:
**Calculated formation energy**: -0.53 eV per atom
**Magnetization**: 0.00 μB per formula unit
**DFT total energy**: -3.49 eV per atom
**Energy relative to the lowest polymorph listed for this composition**: 150 meV/atom
**Calculated volume**: 272.4 Å³/cell

No. 9
Below is a relaxed BaTaAu crystal, with properties calculated at the GGA-PBEsol level.

Cell: 6.765 6.765 6.765 Å, 90.00 90.00 90.00°
Space group F-43m (No. 216)
Asymmetric unit:
Ba: 0.000 0.000 0.000 x4
Ta: 0.250 0.250 0.750 x4
Au: 0.000 0.000 0.500 x4

Computed properties:
**Calculated formation energy**: 1.03 eV per atom
**Magnetization**: 0.00 μB per formula unit
**DFT total energy**: -5.18 eV per atom
**Calculated volume**: 309.6 Å³/cell

No. 10
Below is a relaxed BaTaTi2Au crystal, with properties calculated at the GGA-PBEsol level.

Cell: 5.023 5.023 5.111 Å, 90.00 90.00 90.00°
Space group P4/mmm (No. 123)
Asymmetric unit:
Ba: 0.000 0.000 0.000 x1
Ta: 0.500 0.500 0.000 x1
Ti: 0.000 0.500 0.500 x2
Au: 0.500 0.500 0.500 x1

Computed properties:
**Calculated formation energy**: 0.94 eV per atom
**Magnetization**: 0.70 μB per formula unit
**DFT total energy**: -6.11 eV per atom
**Calculated volume**: 129.0 Å³/cell

No. 11
Below is a relaxed BaTeAu2 crystal, with properties calculated at the GGA-PBEsol level.

Cell: 4.818 4.818 4.452 Å, 90.00 90.00 90.00°
Space group P4/mmm (No. 123)
Asymmetric unit:
Ba: 0.000 0.000 0.000 x1
Te: 0.500 0.500 0.000 x1
Au: 0.000 0.500 0.500 x2

Computed properties:
**Magnetization**: 0.00 μB per formula unit
**DFT total energy**: -3.74 eV per atom
**Calculated volume**: 103.4 Å³/cell

No. 12
Below is a relaxed BaTeAu2 crystal, with properties calculated at the GGA-PBEsol level.

Cell: 7.471 7.471 7.471 Å, 90.00 90.00 90.00°
Space group F-43m (No. 216)
Asymmetric unit:
Ba: 0.000 0.000 0.000 x4
Te: 0.250 0.250 0.750 x4
Au: 0.000 0.000 0.500 x4
Au: 0.250 0.250 0.250 x4

Computed properties:
**Magnetization**: 0.00 μB per formula unit
**DFT total energy**: -3.73 eV per atom
**Calculated volume**: 417.0 Å³/cell